## ReSbAs2 (PBE)

Data for a relaxed ReSbAs2 crystal.

Computed properties:
Magnetic moment = 0.000 μB per atom
DOS(E_F) = 1.800 states/eV per cell
Raw total energy = -6.183 eV per atom

a b c (Å): 3.2391 3.2397 7.5227
angles (deg): 90.00 90.00 90.00
Atoms (fractional coordinates):
As (0.5000, 0.5000, 0.2755)
Re (0.0000, 0.0000, 0.4546)
Sb (0.5000, 0.5000, 0.6924)
As (0.0000, 0.0000, 0.0775)